No. 1
DFT (PBE) results for a relaxed structure of Y6TeP2Se3.

Cell and atoms, written as extended XYZ:
```
12
Lattice="4.0902 0.0000 0.0000 0.0000 8.2878 0.3232 -2.0451 -2.3589 8.6579" Properties=species:S:1:pos:R:3 pbc="T T T"
Y 0.0000 2.2209 0.2994
Y 2.0451 3.9272 3.1798
Y 0.0000 2.0017 5.8013
Y 2.0451 0.1171 3.0812
Y 0.0000 5.8118 5.8999
Y 2.0451 3.7080 8.6817
Se 2.0451 4.1439 0.1616
Se 2.0451 -0.2412 5.9240
Se 0.0000 6.1700 3.0571
Te 2.0451 0.0000 0.0000
P 0.0000 1.9987 3.0316
P 2.0451 3.9301 5.9495
```

Values from the calculation:
Formation energy (no corrections) (meV/atom): -1707
V (Å³/atom): 24.717
DOS at the Fermi energy (states/eV per cell): 3.44
SG: No. 12
Uncorrected energy (Ry per atom): -0.5126

No. 2
DFT (PBE) results for a relaxed structure of Y6Te3P2Se.

Cell and atoms, written as extended XYZ:
```
12
Lattice="-0.0642 1.7647 -3.7499 7.4099 -3.7777 -1.9045 -6.5229 -6.8402 -0.8165" Properties=species:S:1:pos:R:3 pbc="T T T"
Te -3.2241 -3.7665 -4.0080
Te 3.6728 -1.0065 -2.8272
Te 4.0470 -5.0867 -2.4630
Y 1.6058 -1.0866 -0.5388
Y -0.9841 -5.5105 -2.5763
Y 1.8069 -3.3426 -3.8946
Y -1.3413 -1.5360 -2.9906
Y -0.7830 -7.7666 -5.9321
Y 2.1641 -7.3172 -3.4804
Se -0.0321 0.8823 -1.8750
P 0.2796 -3.2634 -1.5405
P 0.5432 -5.5898 -4.9305
```

Values from the calculation:
Formation energy (no corrections) (meV/atom): -1583
V (Å³/atom): 26.309
DOS at the Fermi energy (states/eV per cell): 4.22
SG: No. 12
Uncorrected energy (Ry per atom): -0.4992